Entry 1:
{
  "formula": "Li2TlIr",
  "functional": "PBE",
  "state": "relaxed",
  "lattice": [[2.869, 0.039, 0.000], [-1.129, 2.638, 0.000], [0.000, 0.000, 9.196]],
  "species": ["Ir", "Tl", "Li", "Li"],
  "frac_coords": [[0.500, 0.500, 0.750], [0.500, 0.500, 0.250], [0.000, 0.000, 0.962], [0.000, 0.000, 0.538]],
  "e_form_ev_per_fu": 0.30,
  "total_energy_ev_per_cell": -14.8
}

---

Entry 2:
{
  "formula": "LiTlIr2",
  "functional": "PBE",
  "state": "relaxed",
  "lattice": [[-0.368, 1.536, 2.782], [0.709, -2.691, 1.579], [5.913, 1.523, -0.059]],
  "species": ["Li", "Ir", "Tl", "Ir"],
  "frac_coords": [[0.500, 0.500, 0.250], [0.000, 0.000, 0.466], [0.500, 0.500, 0.750], [0.000, 0.000, 0.034]],
  "e_form_ev_per_fu": 1.46,
  "total_energy_ev_per_cell": -20.5
}

---

Entry 3:
{
  "formula": "Li2TlIr",
  "functional": "PBE",
  "state": "relaxed",
  "lattice": [[4.179, 0.000, 0.000], [0.000, 2.891, 0.037], [0.000, 1.585, 5.429]],
  "species": ["Li", "Tl", "Ir", "Li"],
  "frac_coords": [[0.000, 0.091, 0.989], [0.000, 0.464, 0.502], [0.500, 0.780, 0.776], [0.500, 0.166, 0.233]],
  "e_form_ev_per_fu": 0.07,
  "total_energy_ev_per_cell": -15.0
}

---

What is the formula in the second record?
LiTlIr2